[1]
A plane-wave DFT calculation with PBE-GGA was carried out for crystalline AcH8PdRh2 at its relaxed geometry.

Summary:
energy	-4.51	eV per atom

Lattice parameters (Å, degrees): 4.8792 4.8792 17.0699 90.00 90.00 120.00
Space group R-3 (No. 148, hexagonal axes)
Inequivalent atoms, fractional coordinates:
1 Ac 0.0000 0.0000 0.0000
2 H 0.0000 0.0000 0.3040
3 H 0.0020 0.2942 0.1250
4 Pd 0.0000 0.0000 0.5000
5 Rh 0.0000 0.0000 0.2033



[2]
A plane-wave DFT calculation with PBE-GGA was carried out for crystalline CeH2I4 at its relaxed geometry.

Summary:
energy	-3.06	eV per atom

Lattice parameters (Å, degrees): 7.168 4.300 8.034 90.00 90.25 90.00
Space group P2/m (No. 10)
Inequivalent atoms, fractional coordinates:
1 Ce 0.000 0.000 0.000
2 H 0.423 0.500 0.752
3 I 0.183 0.500 0.738
4 I 0.323 0.000 0.249



Q: The lowest energy belongs to which entry?
A: AcH8PdRh2